No. 1
LiPuCdIn: optimized geometry, PBE-GGA.

Its volume is 21.84 Å³ per atom. For the energy relative to the lowest polymorph listed for this composition, the calculation gives 0 meV per atom. Its energy relative to the elements is -0.19 eV per atom. The value obtained for the density of states at the Fermi level is 5.5 states/eV/cell. The calculation puts the size of the total moment at 5.86 μB/f.u.

It has space group P4mm (No. 99), with a = 3.210 Å, b = 3.210 Å, c = 8.476 Å, α = 90.00°, β = 90.00° and γ = 90.00°. The distinct sites, in fractional coordinates, are Li at (0.000, 0.000, 0.000), Pu at (0.000, 0.000, 0.502), Cd at (0.500, 0.500, 0.794) and In at (0.500, 0.500, 0.213).


No. 2
HoThHgSb: optimized geometry, PBE-GGA.

Its volume is 27.38 Å³ per atom. The total DFT energy (no corrections) is -4.60 eV/atom. The value obtained for the density of states at the Fermi level is 17.3 states/eV/cell. The calculation puts the size of the total moment at 0.00 μB/f.u.

It has space group F-43m (No. 216), with a = 7.595 Å, b = 7.595 Å, c = 7.595 Å, α = 90.00°, β = 90.00° and γ = 90.00°. The distinct sites, in fractional coordinates, are Ho at (0.000, 0.000, 0.000), Th at (0.000, 0.000, 0.500), Hg at (0.250, 0.250, 0.250) and Sb at (0.250, 0.250, 0.750).


No. 3
SrTl2Os: optimized geometry, PBE-GGA.

Its volume is 25.92 Å³ per atom. Its energy relative to the elements is 0.43 eV per atom. The value obtained for the density of states at the Fermi level is 6.2 states/eV/cell. The calculation puts the size of the total moment at 0.00 μB/f.u.

It has space group Immm (No. 71), with a = 3.357 Å, b = 5.616 Å, c = 10.998 Å, α = 90.00°, β = 90.00° and γ = 90.00°. The distinct sites, in fractional coordinates, are Sr at (0.000, 0.000, 0.000), Tl at (0.000, 0.500, 0.206) and Os at (0.000, 0.000, 0.500).


No. 4
CaSc2ReO8: optimized geometry, PBE-GGA.

Its volume is 12.93 Å³ per atom. The total DFT energy (no corrections) is -8.04 eV/atom. The value obtained for the density of states at the Fermi level is 9.2 states/eV/cell. The calculation puts the size of the total moment at 0.81 μB/f.u.

It has space group Cmmm (No. 65), with a = 6.821 Å, b = 6.855 Å, c = 6.635 Å, α = 90.00°, β = 90.00° and γ = 90.00°. The distinct sites, in fractional coordinates, are Ca at (0.000, 0.000, 0.000), Sc at (0.000, 0.500, 0.252), Re at (0.000, 0.000, 0.500), O at (0.000, 0.192, 0.298), O at (0.173, 0.500, 0.000) and O at (0.216, 0.500, 0.500).


No. 5
KSe: optimized geometry, PBE-GGA.

Its volume is 41.17 Å³ per atom. The total DFT energy (no corrections) is -3.16 eV/atom. The calculation puts the size of the total moment at 0.00 μB/f.u.

It has space group P4_2/mnm (No. 136), with a = 7.208 Å, b = 7.208 Å, c = 6.339 Å, α = 90.00°, β = 90.00° and γ = 90.00°. The distinct sites, in fractional coordinates, are K at (0.205, 0.205, 0.000) and Se at (0.120, 0.120, 0.500).


No. 6
LiGa12Ni6: optimized geometry, PBE-GGA.

Its volume is 15.38 Å³ per atom. Its energy relative to the elements is -0.26 eV per atom. The value obtained for the density of states at the Fermi level is 23.2 states/eV/cell. The calculation puts the size of the total moment at 0.00 μB/f.u.

It has space group R-3m (No. 166, hexagonal axes), with a = 11.1122 Å, b = 11.1122 Å, c = 8.1971 Å, α = 90.00°, β = 90.00° and γ = 120.00°. The distinct sites, in fractional coordinates, are Li at (0.0000, 0.0000, 0.0000), Ga at (0.0000, 0.3823, 0.5000), Ga at (0.0844, 0.1688, 0.3079) and Ni at (0.0600, 0.5300, 0.2443).


No. 7
PaGeO: optimized geometry, PBE-GGA.

Its volume is 18.97 Å³ per atom. The total DFT energy (no corrections) is -8.09 eV/atom. The value obtained for the density of states at the Fermi level is 3.0 states/eV/cell. The calculation puts the size of the total moment at 0.00 μB/f.u.

It has space group P-6m2 (No. 187), with a = 3.8345 Å, b = 3.8345 Å, c = 4.4701 Å, α = 90.00°, β = 90.00° and γ = 120.00°. The distinct sites, in fractional coordinates, are Pa at (0.0000, 0.0000, 0.0000), Ge at (0.6667, 0.3333, 0.5000) and O at (0.3333, 0.6667, 0.0000).


No. 8
RbNaPt2: optimized geometry, PBE-GGA.

Its volume is 23.10 Å³ per atom. For the energy relative to the lowest polymorph listed for this composition, the calculation gives 423 meV per atom. Its energy relative to the elements is 0.58 eV per atom. The value obtained for the density of states at the Fermi level is 6.4 states/eV/cell. The calculation puts the size of the total moment at 0.00 μB/f.u.

It has space group Fm-3m (No. 225), with a = 7.177 Å, b = 7.177 Å, c = 7.177 Å, α = 90.00°, β = 90.00° and γ = 90.00°. The distinct sites, in fractional coordinates, are Rb at (0.000, 0.000, 0.000), Na at (0.000, 0.000, 0.500) and Pt at (0.250, 0.250, 0.250).


No. 9
HoPbSe3: optimized geometry, PBE-GGA.

Its volume is 32.21 Å³ per atom. The total DFT energy (no corrections) is -4.83 eV/atom. The calculation puts the size of the total moment at 0.00 μB/f.u.

It has space group C2/m (No. 12), with a = 15.343 Å, b = 5.609 Å, c = 7.721 Å, α = 90.00°, β = 104.19° and γ = 90.00°. The distinct sites, in fractional coordinates, are Ho at (0.152, 0.000, 0.397), Pb at (0.143, 0.500, 0.838), Se at (0.043, 0.000, 0.661), Se at (0.162, 0.500, 0.453) and Se at (0.163, 0.000, 0.049).


No. 10
Na2Sr8Ca3: optimized geometry, PBE-GGA.

Its volume is 52.60 Å³ per atom. For the energy relative to the lowest polymorph listed for this composition, the calculation gives 77 meV per atom. Its energy relative to the elements is 0.13 eV per atom. The value obtained for the density of states at the Fermi level is 17.2 states/eV/cell. The calculation puts the size of the total moment at 0.01 μB/f.u.

It has space group P2/m (No. 10), with a = 10.063 Å, b = 6.650 Å, c = 11.390 Å, α = 90.00°, β = 116.21° and γ = 90.00°. The distinct sites, in fractional coordinates, are Na at (0.221, 0.000, 0.441), Sr at (0.111, 0.500, 0.222), Sr at (0.191, 0.000, 0.779), Sr at (0.316, 0.500, 0.633), Sr at (0.412, 0.000, 0.220), Ca at (0.000, 0.000, 0.000) and Ca at (0.317, 0.500, 0.000).


No. 11
Pu4Pb2C: optimized geometry, PBE-GGA.

Its volume is 26.96 Å³ per atom. Its energy relative to the elements is -0.04 eV per atom. The value obtained for the density of states at the Fermi level is 62.1 states/eV/cell. The calculation puts the size of the total moment at 20.61 μB/f.u.

It has space group I4/mmm (No. 139), with a = 4.827 Å, b = 4.827 Å, c = 16.199 Å, α = 90.00°, β = 90.00° and γ = 90.00°. The distinct sites, in fractional coordinates, are Pu at (0.000, 0.000, 0.155), Pu at (0.000, 0.500, 0.000), Pb at (0.000, 0.000, 0.358) and C at (0.000, 0.000, 0.000).


No. 12
Nd4TlPb: optimized geometry, PBE-GGA.

Its volume is 36.32 Å³ per atom. For the energy relative to the lowest polymorph listed for this composition, the calculation gives 128 meV per atom. Its energy relative to the elements is -0.16 eV per atom. The value obtained for the density of states at the Fermi level is 9.6 states/eV/cell. The calculation puts the size of the total moment at 0.00 μB/f.u.

It has space group P4/mmm (No. 123), with a = 5.358 Å, b = 5.358 Å, c = 7.592 Å, α = 90.00°, β = 90.00° and γ = 90.00°. The distinct sites, in fractional coordinates, are Nd at (0.000, 0.500, 0.244), Tl at (0.000, 0.000, 0.000) and Pb at (0.500, 0.500, 0.500).


Q: Which formula does entry 7 have?
A: PaGeO